! Si4Ni7Ir3 PBE relaxed; values from VASP
&SYSTEM
  ibrav = 0, nat = 14, ntyp = 3
/
ATOMIC_SPECIES
Si 28.09 Si.upf
Ni 58.69 Ni.upf
Ir 192.22 Ir.upf
CELL_PARAMETERS angstrom
6.233 -1.944 0.000
6.233 1.944 0.000
-6.231 0.000 6.896
ATOMIC_POSITIONS angstrom
Si -0.844 0.000 2.167
Si 2.511 0.000 1.658
Si 3.725 0.000 5.238
Si 7.080 0.000 4.729
Ni 0.000 0.000 0.000
Ni -3.406 0.000 6.157
Ni 1.160 0.000 3.540
Ni 4.835 0.000 0.819
Ni 1.401 0.000 6.077
Ni 5.075 0.000 3.355
Ni 9.642 0.000 0.739
Ir -3.115 0.000 3.448
Ir -0.950 0.000 5.200
Ir 7.186 0.000 1.696
! - uncorrected formation energy (eV per atom) = -0.411

=====

! MgScP2I PBE relaxed; values from VASP
&SYSTEM
  ibrav = 0, nat = 5, ntyp = 4
/
ATOMIC_SPECIES
Mg 24.30 Mg.upf
Sc 44.96 Sc.upf
P 30.97 P.upf
I 126.90 I.upf
CELL_PARAMETERS angstrom
4.739 0.000 0.000
0.000 4.739 0.000
0.000 0.000 5.628
ATOMIC_POSITIONS angstrom
Mg 0.000 0.000 0.000
Sc 2.370 2.370 2.814
P 0.000 2.370 0.000
P 2.370 0.000 0.000
I 0.000 0.000 2.814
! - uncorrected formation energy (eV per atom) = 0.302

=====

! Pr3Si2Pt4 PBE relaxed; values from VASP
&SYSTEM
  ibrav = 0, nat = 9, ntyp = 3
/
ATOMIC_SPECIES
Pr 140.91 Pr.upf
Si 28.09 Si.upf
Pt 195.08 Pt.upf
CELL_PARAMETERS angstrom
5.600 -2.118 0.000
5.600 2.118 0.000
-2.138 0.000 8.365
ATOMIC_POSITIONS angstrom
Pr 0.000 0.000 0.000
Pr 3.036 0.000 2.763
Pr 6.025 0.000 5.601
Si 2.854 0.000 5.985
Si 6.207 0.000 2.379
Pt -0.151 0.000 3.168
Pt 1.241 0.000 7.739
Pt 7.820 0.000 0.626
Pt 9.212 0.000 5.197
! - uncorrected formation energy (eV per atom) = -1.098

=====

Computed, not measured: an optimized crystal structure of Tb4NdHo2Th at the PBE level of DFT. Values from VASP.

Structure (Quantum ESPRESSO input):
```
&SYSTEM
  ibrav = 0, nat = 8, ntyp = 4
/
ATOMIC_SPECIES
Tb 158.93 Tb.upf
Nd 144.24 Nd.upf
Ho 164.93 Ho.upf
Th 232.04 Th.upf
CELL_PARAMETERS angstrom
5.055 0.000 0.000
0.000 5.055 0.000
0.000 0.000 10.079
ATOMIC_POSITIONS angstrom
Tb 0.000 2.528 2.482
Tb 0.000 2.528 7.597
Tb 2.528 0.000 2.482
Tb 2.528 0.000 7.597
Nd 0.000 0.000 5.039
Ho 0.000 0.000 0.000
Ho 2.528 2.528 5.039
Th 2.528 2.528 0.000
```

=====

Number 1: E -94.496 eV per cell. Number 2: E -18.788 eV per cell. Number 3: E -59.230 eV per cell. Number 4: E -39.621 eV per cell.